# 1
VASP calculation (GGA-PBE) on an optimized crystal structure of Ac5La5Tb2.

Values from the calculation:
Mass density   7.55 Mg/m³
DFT formation energy   0.40 eV/f.u.

a = 5.4072 Å, b = 8.5335 Å, c = 11.4514 Å
α = 72.65°, β = 76.34°, γ = 71.53°
Sites, in units of the cell vectors:
Ac (0.8388, 0.8261, 0.4963)
Ac (0.2532, 0.7411, 0.7526)
Ac (0.7468, 0.2589, 0.2474)
Ac (0.1612, 0.1739, 0.5037)
Ac (0.0000, 0.0000, 0.0000)
La (0.5000, 0.5000, 0.5000)
La (0.3329, 0.3345, 0.9997)
La (0.4219, 0.9093, 0.2469)
La (0.5781, 0.0907, 0.7531)
La (0.6671, 0.6655, 0.0003)
Tb (0.9156, 0.4137, 0.7552)
Tb (0.0844, 0.5863, 0.2448)

=====

# 2
VASP calculation (GGA-PBE) on an optimized crystal structure of KTiNi3.

Values from the calculation:
Distance to the lowest polymorph of the same formula   1.150 eV per atom
Mass density   4.92 Mg/m³
DFT formation energy   9.78 eV/f.u.

a = 4.4620 Å, b = 4.4620 Å, c = 4.4620 Å
α = 90.00°, β = 90.00°, γ = 90.00°
Sites, in units of the cell vectors:
Ni (0.0000, 0.5000, 0.0000)
Ni (0.0000, 0.0000, 0.5000)
Ni (0.5000, 0.0000, 0.0000)
K (0.0000, 0.0000, 0.0000)
Ti (0.5000, 0.5000, 0.5000)

=====

# 3
VASP calculation (GGA-PBE) on an optimized crystal structure of Cr2CoMo.

Values from the calculation:
Mass density   8.49 Mg/m³
DFT formation energy   0.57 eV/f.u.

a = 2.9163 Å, b = 2.9163 Å, c = 5.9549 Å
α = 90.00°, β = 90.00°, γ = 90.00°
Each line ends with the local moment (μB).
Sites, in units of the cell vectors:
Co (0.5000, 0.5000, 0.7653)  1.26
Cr (0.0000, 0.0000, 0.0094)  1.31
Cr (0.5000, 0.5000, 0.2269)  -0.64
Mo (0.0000, 0.0000, 0.4983)  0.15

=====

# 4
VASP calculation (GGA-PBE) on an optimized crystal structure of Be6GeAu12.

Values from the calculation:
Mass density   14.12 Mg/m³
DFT formation energy   -0.33 eV/f.u.

a = 7.2451 Å, b = 7.2451 Å, c = 7.2451 Å
α = 109.47°, β = 109.47°, γ = 109.47°
Sites, in units of the cell vectors:
Be (0.3683, 0.5000, 0.8683)
Be (0.6317, 0.5000, 0.1317)
Be (0.5000, 0.8683, 0.3683)
Be (0.5000, 0.1317, 0.6317)
Be (0.8683, 0.3683, 0.5000)
Be (0.1317, 0.6317, 0.5000)
Ge (0.0000, 0.0000, 0.0000)
Au (0.3009, 0.1252, 0.8244)
Au (0.3009, 0.4765, 0.1756)
Au (0.6991, 0.5235, 0.8244)
Au (0.6991, 0.8748, 0.1756)
Au (0.1252, 0.8244, 0.3009)
Au (0.4765, 0.1756, 0.3009)
Au (0.5235, 0.8244, 0.6991)
Au (0.8748, 0.1756, 0.6991)
Au (0.8244, 0.3009, 0.1252)
Au (0.1756, 0.3009, 0.4765)
Au (0.8244, 0.6991, 0.5235)
Au (0.1756, 0.6991, 0.8748)

=====

# 5
VASP calculation (GGA-PBE) on an optimized crystal structure of ZrTeRu3.

Values from the calculation:
Distance to the lowest polymorph of the same formula   0.469 eV per atom
Mass density   7.65 Mg/m³

a = 4.8382 Å, b = 4.8382 Å, c = 4.8382 Å
α = 90.00°, β = 90.00°, γ = 90.00°
Each line ends with the local moment (μB).
Sites, in units of the cell vectors:
Ru (0.0000, 0.5000, 0.0000)  1.08
Ru (0.0000, 0.0000, 0.5000)  0.94
Ru (0.5000, 0.0000, 0.0000)  0.94
Te (0.5000, 0.5000, 0.5000)  0.02
Zr (0.0000, 0.0000, 0.0000)  -0.16

=====

# 6
VASP calculation (GGA-PBE) on an optimized crystal structure of La6Ir2I2N.

Values from the calculation:
DFT total energy   -69.2 eV/cell
Mass density   6.91 Mg/m³

a = 7.0896 Å, b = 7.0896 Å, c = 8.4854 Å
α = 98.63°, β = 98.63°, γ = 118.88°
Sites, in units of the cell vectors:
La (0.7435, 0.7435, 0.6807)
La (0.0626, 0.3711, 0.6817)
La (0.2565, 0.2565, 0.3193)
La (0.3711, 0.0626, 0.6817)
La (0.9374, 0.6289, 0.3183)
La (0.6289, 0.9374, 0.3183)
Ir (0.3304, 0.6696, 0.5000)
Ir (0.6696, 0.3304, 0.5000)
I (0.8264, 0.1736, 0.0000)
I (0.1736, 0.8264, 0.0000)
N (0.0000, 0.0000, 0.5000)

=====

# 7
VASP calculation (GGA-PBE) on an optimized crystal structure of CePaAlMo.

Values from the calculation:
Mass density   10.05 Mg/m³
DFT formation energy   -0.21 eV/f.u.

a = 4.8692 Å, b = 4.8692 Å, c = 4.8692 Å
α = 60.00°, β = 60.00°, γ = 60.00°
Sites, in units of the cell vectors:
Mo (0.2500, 0.2500, 0.2500)
Pa (0.5000, 0.5000, 0.5000)
Al (0.0000, 0.0000, 0.0000)
Ce (0.7500, 0.7500, 0.7500)

=====

# 8
VASP calculation (GGA-PBE) on an optimized crystal structure of KGa2Pd.

Values from the calculation:
Mass density   5.42 Mg/m³
DFT formation energy   -0.99 eV/f.u.

a = 3.2810 Å, b = 3.2810 Å, c = 8.1030 Å
α = 90.00°, β = 90.00°, γ = 90.00°
Sites, in units of the cell vectors:
K (0.5000, 0.5000, 0.5000)
Ga (0.0000, 0.0000, 0.8239)
Ga (0.0000, 0.0000, 0.1761)
Pd (0.5000, 0.5000, 0.0000)

=====

# 9
VASP calculation (GGA-PBE) on an optimized crystal structure of Cd2In4H.

Values from the calculation:
DFT total energy   -14.9 eV/cell
Mass density   6.77 Mg/m³

a = 4.6777 Å, b = 4.6777 Å, c = 8.3621 Å
α = 106.24°, β = 106.24°, γ = 90.00°
Sites, in units of the cell vectors:
H (0.0000, 0.0000, 0.0000)
Cd (0.6371, 0.6371, 0.2741)
Cd (0.3629, 0.3629, 0.7259)
In (0.8313, 0.8313, 0.6627)
In (0.1687, 0.1687, 0.3373)
In (0.0000, 0.5000, 0.0000)
In (0.5000, 0.0000, 0.0000)

=====

# 10
VASP calculation (GGA-PBE) on an optimized crystal structure of Na2CdAg5Au2.

Values from the calculation:
Mass density   8.76 Mg/m³
DFT formation energy   -0.93 eV/f.u.

a = 4.3602 Å, b = 9.7411 Å, c = 9.7411 Å
α = 90.00°, β = 90.00°, γ = 90.00°
Sites, in units of the cell vectors:
Na (0.0000, 0.6706, 0.1706)
Na (0.0000, 0.3294, 0.8294)
Na (0.0000, 0.1706, 0.3294)
Na (0.0000, 0.8294, 0.6706)
Cd (0.0000, 0.0000, 0.0000)
Cd (0.0000, 0.5000, 0.5000)
Ag (0.5000, 0.1980, 0.0720)
Ag (0.5000, 0.8020, 0.9280)
Ag (0.5000, 0.0720, 0.8020)
Ag (0.5000, 0.6980, 0.4280)
Ag (0.5000, 0.9280, 0.1980)
Ag (0.5000, 0.3020, 0.5720)
Ag (0.5000, 0.5720, 0.6980)
Ag (0.5000, 0.4280, 0.3020)
Ag (0.5000, 0.5000, 0.0000)
Ag (0.5000, 0.0000, 0.5000)
Au (0.0000, 0.1260, 0.6260)
Au (0.0000, 0.8740, 0.3740)
Au (0.0000, 0.6260, 0.8740)
Au (0.0000, 0.3740, 0.1260)

=====

# 11
VASP calculation (GGA-PBE) on an optimized crystal structure of CeSi2PdPt5.

Values from the calculation:
DFT total energy   -57.1 eV/cell
Mass density   11.99 Mg/m³

a = 4.0686 Å, b = 4.0686 Å, c = 10.6950 Å
α = 90.00°, β = 90.00°, γ = 90.00°
Each line ends with the local moment (μB).
Sites, in units of the cell vectors:
Ce (0.0000, 0.0000, 0.5000)  0.84
Si (0.5000, 0.5000, 0.2795)  0.00
Si (0.5000, 0.5000, 0.7205)  0.00
Pd (0.0000, 0.0000, 0.0000)  0.01
Pt (0.0000, 0.5000, 0.1700)  0.01
Pt (0.5000, 0.0000, 0.1700)  0.01
Pt (0.0000, 0.5000, 0.8300)  0.01
Pt (0.5000, 0.0000, 0.8300)  0.01
Pt (0.5000, 0.5000, 0.5000)  -0.01

=====

# 12
VASP calculation (GGA-PBE) on an optimized crystal structure of La4SmIr2.

Values from the calculation:
Mass density   8.89 Mg/m³
DFT formation energy   -3.02 eV/f.u.

a = 6.6701 Å, b = 8.2093 Å, c = 8.1689 Å
α = 114.37°, β = 90.00°, γ = 90.00°
Sites, in units of the cell vectors:
Ir (0.2500, 0.2258, 0.9892)
Ir (0.7500, 0.7742, 0.0108)
Ir (0.7500, 0.3603, 0.4051)
Ir (0.2500, 0.6397, 0.5949)
Sm (0.2500, 0.8505, 0.9745)
Sm (0.7500, 0.1495, 0.0255)
La (0.5059, 0.4198, 0.7769)
La (0.2500, 0.2629, 0.3405)
La (0.7500, 0.7371, 0.6595)
La (0.9941, 0.4198, 0.7769)
La (0.7500, 0.0131, 0.3735)
La (0.0059, 0.5802, 0.2231)
La (0.4941, 0.5802, 0.2231)
La (0.2500, 0.9869, 0.6265)

=====

Question: Among the records above, which one has the lowest mass density?
Answer: KTiNi3